BiTeIrI2: relaxed, PBE-GGA.

POSCAR file:
```
BiTeIrI2
1.0
-0.149 -3.364 4.976
-0.189 -4.972 -3.368
6.143 -0.245 0.018
I Ir Te Bi
2 1 1 1
Direct
0.000 0.500 0.000
0.500 0.000 0.000
0.500 0.500 0.500
0.000 0.000 0.500
0.000 0.000 0.000
```

Results
As for the polymorph energy (0 for the lowest one): 941 meV per atom. The value obtained for the spin magnetization is 0.5547 μB/atom. The uncorrected formation energy comes out at 1.33 eV per atom. As for the symmetry: P4/mmm. As for the electronic total energy: -2.4695 eV/atom.

***

K2RbPdI: relaxed, PBE-GGA.

POSCAR file:
```
K2RbPdI
1.0
-3.839 -3.916 -2.790
-1.358 -2.542 5.436
-4.842 4.207 0.758
I K Rb Pd
1 2 1 1
Direct
0.500 0.500 0.500
0.000 0.500 0.000
0.500 0.000 0.000
0.000 0.000 0.500
0.000 0.000 0.000
```

Results
As for the polymorph energy (0 for the lowest one): 0 meV per atom. The value obtained for the spin magnetization is 0.0000 μB/atom. The uncorrected formation energy comes out at -0.46 eV per atom. As for the symmetry: P4/mmm. As for the electronic total energy: -2.4446 eV/atom.

***

RbNa2ErBr6: relaxed, PBE-GGA.

POSCAR file:
```
RbNa2ErBr6
1.0
-5.732 -3.540 3.616
-1.439 -7.375 -1.418
1.980 -5.476 5.860
Rb Na Er Br
1 2 1 6
Direct
0.805 0.805 0.584
0.520 0.520 0.440
0.004 0.004 0.989
0.327 0.327 0.020
0.571 0.252 0.231
0.252 0.947 0.231
0.947 0.571 0.230
0.353 0.719 0.763
0.719 0.164 0.763
0.164 0.353 0.763
```

Results
The value obtained for the spin magnetization is 0.0000 μB/atom. The uncorrected formation energy comes out at -1.73 eV per atom. As for the symmetry: R3. As for the electronic total energy: -3.5458 eV/atom.

***

VCdOs: relaxed, PBE-GGA.

POSCAR file:
```
VCdOs
1.0
-1.899 -2.018 0.738
2.641 -4.019 0.766
0.861 0.194 7.497
V Os Cd
2 2 2
Direct
0.541 0.845 0.128
0.089 0.331 0.257
0.796 0.841 0.404
0.450 0.376 0.521
0.136 0.882 0.742
0.768 0.365 0.915
```

Results
As for the polymorph energy (0 for the lowest one): 85 meV per atom. The value obtained for the spin magnetization is 0.0000 μB/atom. The formation energy comes out at 0.2200 eV per atom. As for the symmetry: P1. As for the electronic total energy: -6.8678 eV/atom.

***

Pr4Ho8Tm3: relaxed, PBE-GGA.

POSCAR file:
```
Pr4Ho8Tm3
1.0
6.741 -0.114 -0.163
-3.229 8.647 1.177
-3.229 -1.898 8.518
Pr Ho Tm
4 8 3
Direct
0.500 0.000 0.000
0.000 0.500 0.000
0.000 0.000 0.000
0.000 0.000 0.500
0.520 0.268 0.268
0.000 0.637 0.363
0.004 0.272 0.272
0.500 0.744 0.256
0.500 0.256 0.744
0.996 0.728 0.728
0.000 0.363 0.637
0.480 0.732 0.732
0.500 0.500 0.000
0.500 0.000 0.500
0.500 0.500 0.500
```

Results
As for the polymorph energy (0 for the lowest one): 249 meV per atom. The value obtained for the spin magnetization is 0.0002 μB/atom. The formation energy comes out at 0.3647 eV per atom. As for the symmetry: C2/m. As for the electronic total energy: -4.2456 eV/atom.

***

GaCuRuAu: relaxed, PBE-GGA.

POSCAR file:
```
GaCuRuAu
1.0
4.344 0.000 0.000
2.172 3.762 0.000
2.172 1.254 3.547
Ru Au Cu Ga
1 1 1 1
Direct
0.750 0.750 0.750
0.250 0.250 0.250
0.000 0.000 0.000
0.500 0.500 0.500
```

Results
The value obtained for the spin magnetization is 0.0000 μB/atom. The formation energy comes out at -0.0307 eV per atom. As for the symmetry: F-43m. As for the electronic total energy: -4.9498 eV/atom.

***

Re2MoCl: relaxed, PBE-GGA.

POSCAR file:
```
Re2MoCl
1.0
2.914 0.000 0.000
0.000 2.914 0.000
0.000 0.000 7.227
Cl Mo Re
1 1 2
Direct
0.500 0.500 0.250
0.500 0.500 0.750
0.000 0.000 0.996
0.000 0.000 0.504
```

Results
As for the polymorph energy (0 for the lowest one): 418 meV per atom. The value obtained for the spin magnetization is 0.0000 μB/atom. The uncorrected formation energy comes out at 0.66 eV per atom. As for the symmetry: P4/mmm. As for the electronic total energy: -8.7319 eV/atom.

***

LiAc3Pd5: relaxed, PBE-GGA.

POSCAR file:
```
LiAc3Pd5
1.0
5.977 0.000 0.000
0.000 9.131 0.000
0.000 -4.566 7.908
Li Ac Pd
2 6 10
Direct
0.000 0.000 0.000
0.500 0.000 0.000
0.750 0.366 0.000
0.750 0.634 0.634
0.750 0.000 0.366
0.250 0.634 0.000
0.250 0.366 0.366
0.250 0.000 0.634
0.000 0.333 0.667
0.500 0.667 0.333
0.000 0.667 0.333
0.500 0.333 0.667
0.750 0.713 0.000
0.750 0.287 0.287
0.750 0.000 0.713
0.250 0.287 0.000
0.250 0.713 0.713
0.250 0.000 0.287
```

Results
The value obtained for the spin magnetization is 0.0000 μB/atom. The formation energy comes out at -0.6533 eV per atom. As for the symmetry: P6_3/mcm. As for the electronic total energy: -5.1204 eV/atom.

***

MnCoSiS2: relaxed, PBE-GGA.

POSCAR file:
```
MnCoSiS2
1.0
-3.100 0.107 3.140
3.023 -0.077 2.987
0.132 4.412 -0.019
S Mn Co Si
2 1 1 1
Direct
0.000 0.000 0.500
0.500 0.000 0.000
0.500 0.500 0.500
0.000 0.000 0.000
0.000 0.500 0.000
```

Results
As for the polymorph energy (0 for the lowest one): 237 meV per atom. The value obtained for the spin magnetization is 0.0200 μB/atom. The uncorrected formation energy comes out at 0.93 eV per atom. As for the symmetry: P4/mmm. As for the electronic total energy: -5.0583 eV/atom.

***

Zn3Mo2: relaxed, PBE-GGA.

POSCAR file:
```
Zn3Mo2
1.0
2.181 -3.777 0.000
2.181 3.777 0.000
0.000 0.000 5.356
Zn Mo
3 2
Direct
0.000 0.000 0.000
0.667 0.333 0.609
0.333 0.667 0.391
0.667 0.333 0.102
0.333 0.667 0.898
```

Results
As for the polymorph energy (0 for the lowest one): 157 meV per atom. The value obtained for the spin magnetization is 0.0000 μB/atom. The formation energy comes out at 0.3588 eV per atom. As for the symmetry: P-3m1. As for the electronic total energy: -4.7380 eV/atom.